[1]
Al2Co2O5 | GGA+U | relaxed

Cell lengths 3.4386, 3.4386, 7.7976 Å; angles 90.00, 90.00, 90.00 degrees
With the nearest neighbours (Å) after each atom.
Space group P4/mmm (No. 123)
Symmetry-distinct sites (fractional):
Al1 0.0000 0.0000 0.0000 [1 per cell]  8 O 2.09
Al2 0.0000 0.0000 0.5000 [1 per cell]  4 O 2.43
Co1 0.5000 0.5000 0.2390 [2 per cell]  5 O 1.85-2.04
O1 0.0000 0.5000 0.1523 [4 per cell]  2 Co 1.85
O2 0.5000 0.5000 0.5000 [1 per cell]  2 Co 2.04

Results
Energy ... -5.745 eV per atom
Total magnetization ... 3.31 Bohr magnetons per cell



[2]
AlCoPO | GGA+U | relaxed

Cell lengths 3.0933, 6.2232, 6.0326 Å; angles 90.00, 90.00, 90.00 degrees
With the nearest neighbours (Å) after each atom.
Space group Pmc2_1 (No. 26)
Symmetry-distinct sites (fractional):
Al1 0.0000 0.1941 0.0000 [2 per cell]  2 O 1.81
Co1 0.5000 0.3652 0.5663 [2 per cell]  2 O 2.14, 2 P 2.23
P1 0.0000 0.1709 0.3906 [2 per cell]  2 Co 2.23, 2 Al 2.36-2.37
O1 0.5000 0.3219 0.9183 [2 per cell]  2 Al 1.81

Results
Energy ... -5.737 eV per atom
Relative energy among the computed polymorphs ... 0.027 eV per atom
Total magnetization ... 4.27 Bohr magnetons per cell



[3]
AlCoPO | GGA+U | relaxed

Cell lengths 3.7880, 5.9910, 5.3658 Å; angles 90.00, 90.00, 90.00 degrees
With the nearest neighbours (Å) after each atom.
Space group Pmc2_1 (No. 26)
Symmetry-distinct sites (fractional):
Al1 0.0000 0.1368 0.0000 [2 per cell]  2 O 1.81-1.82
Co1 0.5000 0.2918 0.4220 [2 per cell]  2 O 2.17, 2 P 2.35-2.36
P1 0.5000 0.3202 0.8606 [2 per cell]  2 Al 2.31, 2 Co 2.35-2.36
O1 0.0000 0.1302 0.3380 [2 per cell]  2 Al 1.81-1.82

Results
Energy ... -5.763 eV per atom
Relative energy among the computed polymorphs ... 0.000 eV per atom
Total magnetization ... 5.96 Bohr magnetons per cell



[4]
AlCoPO | GGA+U | relaxed

Cell lengths 3.5024, 3.5024, 7.7328 Å; angles 90.00, 90.00, 90.00 degrees
With the nearest neighbours (Å) after each atom.
Space group P4/nmm (No. 129, origin choice 2)
Symmetry-distinct sites (fractional):
Al1 0.2500 0.2500 0.1048 [2 per cell]  4 O 1.93
Co1 0.2500 0.7500 0.5000 [2 per cell]  4 P 2.16
P1 0.2500 0.2500 0.6644 [2 per cell]  4 Co 2.16
O1 0.2500 0.7500 0.0000 [2 per cell]  4 Al 1.93

Results
Energy ... -5.715 eV per atom
Relative energy among the computed polymorphs ... 0.049 eV per atom
Total magnetization ... 0.00 Bohr magnetons per cell



[5]
AlCoPO | GGA+U | relaxed

Cell lengths 3.9453, 3.9453, 8.4446 Å; angles 90.00, 90.00, 90.00 degrees
With the nearest neighbours (Å) after each atom.
Space group P4/nmm (No. 129, origin choice 2)
Symmetry-distinct sites (fractional):
Al1 0.2500 0.7500 0.0000 [2 per cell]  4 P 2.41
Co1 0.2500 0.2500 0.4488 [2 per cell]  4 O 2.02
P1 0.2500 0.2500 0.1640 [2 per cell]  1 Co 2.41, 4 Al 2.41
O1 0.2500 0.7500 0.5000 [2 per cell]  4 Co 2.02

Results
Energy ... -5.346 eV per atom
Relative energy among the computed polymorphs ... 0.418 eV per atom
Total magnetization ... 5.73 Bohr magnetons per cell